Record 1
PmPrHo: optimized geometry, PBE.

Lattice parameters (Å, degrees): 3.628 3.628 8.895 90.00 90.00 120.00
Element x y z (fractional)
1 Pm 0.000 0.000 0.000
2 Pr 0.667 0.333 0.344
3 Ho 0.333 0.667 0.675

Energy above the lowest structure with this stoichiometry: 0.0 meV/atom
Space group: No. 156
Fermi-level density of states: 1.332 states/eV per atom
Total energy: -14.051 eV for the cell shown
Calculated volume: 101.4 Å³/cell
Total magnetic moment: 0.00 Bohr magnetons per cell
ΔE_f: 0.0191 eV/atom



Record 2
TbCd7Ag5: optimized geometry, PBE.

Lattice parameters (Å, degrees): 7.524 7.524 7.524 136.05 97.53 98.56
Element x y z (fractional)
1 Tb 0.000 0.000 0.000
2 Cd 0.209 0.508 0.702
3 Cd 0.225 0.725 0.500
4 Cd 0.349 0.349 0.000
5 Cd 0.357 0.013 0.344
6 Cd 0.661 0.661 0.000
7 Cd 0.669 0.013 0.656
8 Cd 0.806 0.508 0.298
9 Ag 0.009 0.009 0.498
10 Ag 0.009 0.511 0.000
11 Ag 0.511 0.009 0.000
12 Ag 0.511 0.511 0.502
13 Ag 0.793 0.293 0.500

Space group: No. 44
Fermi-level density of states: 0.522 states/eV per atom
Total energy: -26.739 eV for the cell shown
Calculated volume: 274.1 Å³/cell
Total magnetic moment: 0.00 Bohr magnetons per cell
ΔE_f: -0.1113 eV/atom



Record 3
HfMo: optimized geometry, PBE.

Lattice parameters (Å, degrees): 6.902 6.902 6.902 109.47 109.47 109.47
Element x y z (fractional)
1 Hf 0.000 0.000 0.414
2 Hf 0.000 0.414 0.000
3 Hf 0.414 0.000 0.000
4 Hf 0.586 0.586 0.586
5 Mo 0.000 0.000 0.764
6 Mo 0.000 0.764 0.000
7 Mo 0.236 0.236 0.236
8 Mo 0.764 0.000 0.000

Energy above the lowest structure with this stoichiometry: 2045.8 meV/atom
Space group: No. 217
Fermi-level density of states: 1.926 states/eV per atom
Total energy: -67.630 eV for the cell shown
Calculated volume: 253.1 Å³/cell
Total magnetic moment: 0.00 Bohr magnetons per cell
ΔE_f: 1.9385 eV/atom